(1)
VASP calculation (GGA-PBE) on a relaxed MoIrC2 crystal.

E above lowest polymorph = 0 meV/atom
Calculated volume = 12.7 A^3/atom
Energy of formation from the pure elements = 53.6 kJ per mole of atoms
Calculated density = 10.177 g/cm³
VASP energy = -0.660 Ry/atom
Crystal system = tetragonal

Cell lengths 5.7051, 5.7051, 5.7051 Å; angles 131.54, 131.54, 70.95 degrees
Closest atoms and distances in Å follow each position.
Fractional positions:
Mo: 0.0000 0.0000 0.0000  4 C 2.04
Mo: 0.7500 0.2500 0.5000  4 C 2.04
Ir: 0.2500 0.7500 0.5000  4 C 2.01
Ir: 0.5000 0.5000 0.0000  4 C 2.01
C: 0.1305 0.6250 0.0055  2 Ir 2.01, 2 Mo 2.04
C: 0.3750 0.3805 0.5055  2 Ir 2.01, 2 Mo 2.04
C: 0.6195 0.1250 0.9945  2 Ir 2.01, 2 Mo 2.04
C: 0.8750 0.8695 0.4945  2 Ir 2.01, 2 Mo 2.04

(2)
VASP calculation (GGA-PBE) on a relaxed Sc8Cu2Pd crystal.

E above lowest polymorph = 0 meV/atom
Calculated volume = 20.8 A^3/atom
Energy of formation from the pure elements = -25.4 kJ per mole of atoms
Calculated density = 4.305 g/cm³
VASP energy = -0.447 Ry/atom
Crystal system = monoclinic

Cell lengths 8.3620, 8.3620, 6.3576 Å; angles 108.09, 108.09, 32.96 degrees
Closest atoms and distances in Å follow each position.
Fractional positions:
Sc: 0.0302 0.0302 0.2813  1 Cu 2.62, 2 Pd 2.87
Sc: 0.1961 0.1961 0.8124  1 Cu 2.59
Sc: 0.3291 0.3291 0.5244  1 Cu 2.57, 1 Pd 2.80
Sc: 0.4054 0.4054 0.0443  1 Pd 2.80, 2 Cu 2.94, 1 Sc 3.13
Sc: 0.5946 0.5946 0.9557  1 Pd 2.80, 2 Cu 2.94, 1 Sc 3.13
Sc: 0.6709 0.6709 0.4756  1 Cu 2.57, 1 Pd 2.80
Sc: 0.8039 0.8039 0.1876  1 Cu 2.59
Sc: 0.9698 0.9698 0.7187  1 Cu 2.62, 2 Pd 2.87
Cu: 0.1814 0.1814 0.2069  3 Sc 2.57-2.62
Cu: 0.8186 0.8186 0.7931  3 Sc 2.57-2.62
Pd: 0.5000 0.5000 0.5000  8 Sc 2.80-2.87

(3)
VASP calculation (GGA-PBE) on a relaxed LaO crystal.

Calculated volume = 24.4 A^3/atom
Calculated density = 5.279 g/cm³
E_form (uncorrected) = -2.703 eV/atom
VASP energy = -0.562 Ry/atom
Crystal system = orthorhombic

Cell lengths 6.7780, 7.0033, 8.2118 Å; angles 90.00, 90.00, 90.00 degrees
Closest atoms and distances in Å follow each position.
Fractional positions:
La: 0.2022 0.0584 0.4961  4 O 2.37-2.53
La: 0.2055 0.5569 0.7127  3 O 2.29-2.42
La: 0.2945 0.4431 0.2127  3 O 2.29-2.42
La: 0.2978 0.9416 0.9961  4 O 2.37-2.53
La: 0.7022 0.4416 0.5039  4 O 2.37-2.53
La: 0.7055 0.9431 0.2873  3 O 2.29-2.42
La: 0.7945 0.0569 0.7873  3 O 2.29-2.42
La: 0.7978 0.5584 0.0039  4 O 2.37-2.53
O: 0.1012 0.9254 0.7547  3 La 2.29-2.42
O: 0.1638 0.6286 0.9986  4 La 2.36-2.53
O: 0.3362 0.3714 0.4986  4 La 2.36-2.53
O: 0.3988 0.0746 0.2547  3 La 2.29-2.42
O: 0.6012 0.5746 0.2453  3 La 2.29-2.42
O: 0.6638 0.8714 0.0014  4 La 2.36-2.53
O: 0.8362 0.1286 0.5014  4 La 2.36-2.53
O: 0.8988 0.4254 0.7453  3 La 2.29-2.42

- The lowest calculated volume belongs to which entry?
  MoIrC2

- Number 3 is which compound?
  LaO